Below is a relaxed structure of ZrFe6Ge6, with properties calculated at the GGA-PBE level.

a = 6.4753 Å, b = 6.4753 Å, c = 6.4753 Å
α = 133.76°, β = 102.89°, γ = 94.89°
Last column: nearest neighbours and their distance in Å.
Positions (direct):
1 Zr 0.0000 0.0000 0.0000  8 Ge 2.78-2.92
2 Fe 0.0000 0.0000 0.5000  6 Ge 2.49-2.64, 4 Fe 2.53-2.54
3 Fe 0.0000 0.5000 0.0000  6 Ge 2.49-2.64, 4 Fe 2.53-2.54
4 Fe 0.2542 0.5000 0.7542  6 Ge 2.47-2.65, 4 Fe 2.53
5 Fe 0.5000 0.0000 0.0000  6 Ge 2.49-2.64, 4 Fe 2.53-2.54
6 Fe 0.5000 0.5000 0.5000  6 Ge 2.49-2.64, 4 Fe 2.53-2.54
7 Fe 0.7458 0.5000 0.2458  6 Ge 2.47-2.65, 4 Fe 2.53
8 Ge 0.1632 0.6632 0.5000  6 Fe 2.50
9 Ge 0.3326 0.3326 0.0000  6 Fe 2.47-2.49
10 Ge 0.3445 0.0000 0.3445  1 Ge 2.51, 6 Fe 2.64-2.65, 1 Zr 2.78
11 Ge 0.6555 0.0000 0.6555  1 Ge 2.51, 6 Fe 2.64-2.65, 1 Zr 2.78
12 Ge 0.6674 0.6674 0.0000  6 Fe 2.47-2.49
13 Ge 0.8368 0.3368 0.5000  6 Fe 2.50

Results
Fermi-level density of states in states/eV/atom: 0.733
Spin magnetization in μB/f.u.: 11.2
Raw total energy in eV per atom: -6.95